1.
Material: TaIr2Cl
Method: DFT, PBE
State: relaxed

Output
Uncorrected formation energy ... 0.011 eV per atom
Space group ... R-3m, No. 166

Unit cell a=8.4553 b=8.4553 c=8.4553 alpha=21.39 beta=21.39 gamma=21.39
Closest atoms and distances in Å follow each position.
Element x y z (fractional)
Ta: 0.0000 0.0000 0.0000  6 Ir 2.60
Ir: 0.2578 0.2578 0.2578  3 Ta 2.60, 3 Cl 2.90
Ir: 0.7422 0.7422 0.7422  3 Ta 2.60, 3 Cl 2.90
Cl: 0.5000 0.5000 0.5000  6 Ir 2.90, 6 Cl 3.14


2.
Material: LaPm3Ni3
Method: DFT, PBE
State: relaxed

Output
Space group ... C2/m, No. 12
Formation energy ... -0.21 eV/atom

Unit cell a=6.9733 b=6.9733 c=6.9050 alpha=90.89 beta=90.89 gamma=92.23
Closest atoms and distances in Å follow each position.
Element x y z (fractional)
La: 0.2457 0.2457 0.3900  4 Ni 2.75-2.99
La: 0.7543 0.7543 0.6100  4 Ni 2.75-2.99
Pm: 0.1796 0.8204 0.0000  6 Ni 2.83-2.95
Pm: 0.2565 0.7435 0.5000  4 Ni 2.94-3.03
Pm: 0.3249 0.3249 0.8977  3 Ni 2.79-2.91
Pm: 0.6751 0.6751 0.1023  3 Ni 2.79-2.91
Pm: 0.7435 0.2565 0.5000  4 Ni 2.94-3.03
Pm: 0.8204 0.1796 0.0000  6 Ni 2.83-2.95
Ni: 0.0182 0.5073 0.2053  1 La 2.78, 4 Pm 2.79-3.03, 1 Ni 2.84
Ni: 0.0604 0.0604 0.6869  2 La 2.75-2.99, 1 Ni 2.81, 5 Pm 2.89-2.94
Ni: 0.4927 0.9818 0.7947  1 La 2.78, 4 Pm 2.79-3.03, 1 Ni 2.84
Ni: 0.5073 0.0182 0.2053  1 La 2.78, 4 Pm 2.79-3.03, 1 Ni 2.84
Ni: 0.9396 0.9396 0.3131  2 La 2.75-2.99, 1 Ni 2.81, 5 Pm 2.89-2.94
Ni: 0.9818 0.4927 0.7947  1 La 2.78, 4 Pm 2.79-3.03, 1 Ni 2.84


3.
Material: Zr2PaSe3
Method: DFT, PBE
State: relaxed

Output
Uncorrected formation energy ... -1.018 eV per atom
Space group ... C2/m, No. 12

Unit cell a=10.4877 b=10.4877 c=7.7353 alpha=102.68 beta=102.68 gamma=19.52
Closest atoms and distances in Å follow each position.
Element x y z (fractional)
Zr: 0.0314 0.0314 0.3331  4 Se 2.66-2.85
Zr: 0.3226 0.3226 0.0461  6 Se 2.70-2.86
Zr: 0.6774 0.6774 0.9539  6 Se 2.70-2.86
Zr: 0.9686 0.9686 0.6669  4 Se 2.66-2.85
Pa: 0.3300 0.3300 0.5390  6 Se 2.88-3.00
Pa: 0.6700 0.6700 0.4610  6 Se 2.88-3.00
Se: 0.1069 0.1069 0.6891  4 Zr 2.82-2.86, 2 Pa 3.00
Se: 0.2238 0.2238 0.2233  3 Zr 2.70-2.74, 3 Pa 2.90-2.95
Se: 0.4264 0.4264 0.8717  3 Zr 2.66-2.78, 1 Pa 2.88
Se: 0.5736 0.5736 0.1283  3 Zr 2.66-2.78, 1 Pa 2.88
Se: 0.7762 0.7762 0.7767  3 Zr 2.70-2.74, 3 Pa 2.90-2.95
Se: 0.8931 0.8931 0.3109  4 Zr 2.82-2.86, 2 Pa 3.00


| no. | total magnetization (Bohr magnetons per cell) | DOS at the Fermi energy (states/eV per cell) |
| --- | --- | --- |
| 1 | 0.00 | 2.16 |
| 2 | 0.00 | 13.51 |
| 3 | 0.00 | 9.73 |